6
Lattice="-4.813 1.799 -2.015 -2.864 -3.141 -3.521 -4.722 -2.356 1.617" Properties=species:S:1:pos:R:3 comment="TaCrHg4 GGA-PBEsol optimized geometry" magnetic_moment_mub_per_cell=1.0 total_energy_ev_per_atom=-3.39 e_form_mev_per_atom=782 pbc="T T T"
Hg -7.012 -2.565 -0.660
Hg -4.649 -1.387 -1.469
Hg -7.057 -0.487 -2.478
Hg -6.082 -2.958 -3.231
Ta -9.300 -2.774 -2.939
Cr 0.000 0.000 0.000


4
Lattice="3.602 0.000 0.000 0.000 4.446 0.000 -1.801 -2.223 5.142" Properties=species:S:1:pos:R:3 comment="CaYFe2 GGA-PBEsol optimized geometry" magnetic_moment_mub_per_cell=0.0 total_energy_ev_per_atom=-6.40 e_form_mev_per_atom=323 pbc="T T T"
Fe 0.000 0.000 0.691
Fe 1.801 0.000 1.685
Ca 0.000 2.223 2.788
Y 0.000 0.000 5.120


16
Lattice="5.039 0.325 0.000 -1.869 4.511 0.000 0.000 0.000 5.645" Properties=species:S:1:pos:R:3 comment="Li4Mn3CoO8 GGA-PBEsol optimized geometry" raw_formation_energy_ev_per_fu=-28.0 magnetic_moment_mub_per_cell=10.0 total_energy_ev_per_atom=-7.18 de_polymorph_mev_per_atom=0 pbc="T T T"
Li 1.585 2.418 0.000
Li 2.520 0.162 1.376
Li 2.520 0.162 4.269
Li 1.585 2.418 2.822
Mn -0.935 2.255 4.260
Mn 0.000 0.000 2.822
Mn -0.935 2.255 1.385
O 3.452 1.411 2.822
O 0.690 1.216 4.150
O -0.282 3.425 2.822
O 0.690 1.216 1.495
O -0.160 3.350 0.000
O 2.480 3.620 4.150
O 2.480 3.620 1.495
O 3.330 1.486 0.000
Co 0.000 0.000 0.000


3
Lattice="3.411 0.000 0.000 0.000 3.411 0.000 -1.706 -1.706 6.642" Properties=species:S:1:pos:R:3 comment="Y2Al GGA-PBEsol optimized geometry" magnetic_moment_mub_per_cell=0.0 total_energy_ev_per_atom=-6.19 e_form_mev_per_atom=-274 pbc="T T T"
Al 0.000 0.000 0.000
Y 0.000 0.000 4.671
Y 1.706 1.706 1.971


12
Lattice="4.353 0.000 0.000 0.000 7.543 0.000 0.000 0.000 9.038" Properties=species:S:1:pos:R:3 comment="ThSe2 GGA-PBEsol optimized geometry" raw_formation_energy_ev_per_fu=-5.3 magnetic_moment_mub_per_cell=0.0 total_energy_ev_per_atom=-7.02 pbc="T T T"
Th 3.264 1.905 5.653
Th 1.088 5.639 3.386
Th 3.264 5.676 7.905
Th 1.088 1.867 1.133
Se 1.088 6.484 0.618
Se 3.264 1.059 8.420
Se 1.088 7.315 6.009
Se 1.088 2.712 3.901
Se 3.264 4.000 1.490
Se 3.264 0.228 3.029
Se 3.264 4.831 5.137
Se 1.088 3.544 7.548


5
Lattice="-2.329 0.411 3.103 -0.900 -3.793 -0.173 4.613 -1.260 3.629" Properties=species:S:1:pos:R:3 comment="CdSbN2F GGA-PBEsol optimized geometry" raw_formation_energy_ev_per_fu=4.2 magnetic_moment_mub_per_cell=0.2 total_energy_ev_per_atom=-4.11 de_polymorph_mev_per_atom=604 pbc="T T T"
N -0.450 -1.896 -0.087
N -1.165 0.205 1.552
Cd 2.306 -0.630 1.815
Sb 0.000 0.000 0.000
F 0.692 -2.321 3.280


18
Lattice="5.973 0.000 0.000 0.000 8.530 0.000 0.000 -4.265 7.387" Properties=species:S:1:pos:R:3 comment="Zr5Sn3Se GGA-PBEsol optimized geometry" raw_formation_energy_ev_per_fu=-7.9 magnetic_moment_mub_per_cell=0.0 total_energy_ev_per_atom=-7.78 pbc="T T T"
Zr 4.480 -3.147 5.450
Zr 1.493 -1.118 1.937
Zr 0.000 4.265 2.462
Zr 1.493 3.147 5.450
Zr 2.987 0.000 4.925
Zr 0.000 0.000 4.925
Zr 2.987 4.265 2.462
Zr 4.480 6.293 0.000
Zr 1.493 2.237 0.000
Zr 4.480 1.118 1.937
Sn 4.480 2.577 4.464
Sn 1.493 5.155 0.000
Sn 1.493 -2.577 4.464
Sn 4.480 -1.688 2.923
Sn 1.493 1.688 2.923
Sn 4.480 3.375 0.000
Se 0.000 0.000 0.000
Se 2.987 0.000 0.000


40
Lattice="9.289 0.208 0.147 4.813 7.948 0.147 4.813 2.783 7.446" Properties=species:S:1:pos:R:3 comment="Na3Sc2P3O12 GGA-PBEsol optimized geometry" raw_formation_energy_ev_per_fu=-53.3 magnetic_moment_mub_per_cell=0.0 total_energy_ev_per_atom=-7.55 de_polymorph_mev_per_atom=10 pbc="T T T"
O 8.798 5.663 7.400
O 10.118 5.276 0.340
O 12.359 2.765 5.372
O 6.708 5.822 3.291
O 10.355 2.767 0.726
O 11.201 7.639 3.345
O 13.941 7.487 3.824
O 11.353 7.727 0.819
O 9.296 8.576 2.065
O 8.560 8.172 7.014
O 8.392 4.072 1.649
O 6.846 7.734 4.863
O 13.443 6.384 6.600
O 9.619 2.363 5.675
O 5.473 4.555 1.140
O 6.556 8.175 2.368
O 6.677 1.897 1.952
O 7.563 3.212 6.921
O 4.975 3.452 3.916
O 12.238 9.042 5.788
O 7.715 3.300 4.395
O 12.070 3.205 2.877
O 10.524 6.868 6.091
O 12.208 5.117 4.449
P 9.374 3.930 0.466
P 12.726 3.686 4.189
P 9.542 7.009 7.274
P 6.189 7.253 3.551
P 8.081 2.491 5.658
P 10.834 8.448 2.082
Na 9.542 8.757 4.804
Na 12.349 5.828 2.082
Na 9.374 2.182 2.936
Na 6.566 5.111 5.658
Na 11.211 4.558 6.660
Na 7.705 6.381 1.080
Sc 2.865 1.657 1.172
Sc 16.051 9.283 6.568
Sc 6.593 3.813 2.698
Sc 12.322 7.126 5.042